Entry 1:
# PBE-GGA Nb2CdP2, relaxed
data_Nb2CdP2
_chemical_formula_sum 'Nb4 Cd2 P4'
_cell_length_a 7.1715
_cell_length_b 7.1715
_cell_length_c 3.1867
_cell_angle_alpha 90.00
_cell_angle_beta 90.00
_cell_angle_gamma 90.00
_symmetry_space_group_name_H-M 'P 4/m b m'
_symmetry_Int_Tables_number 127
_symmetry_space_group_name_Hall '-P 4 2ab'
loop_
_atom_site_label
_atom_site_type_symbol
_atom_site_fract_x
_atom_site_fract_y
_atom_site_fract_z
Nb1 Nb 0.1499 0.3501 0.0000
Cd1 Cd 0.0000 0.0000 0.5000
P1 P 0.1391 0.6391 0.5000
# Energy of formation from the pure elements (kJ/mol of atoms): -39.6
# Crystal system: tetragonal
# Distance to the lowest polymorph of the same formula (meV/atom): 3

Entry 2:
# PBE-GGA Nb2CdP2, relaxed
data_Nb2CdP2
_chemical_formula_sum 'Nb4 Cd2 P4'
_cell_length_a 7.2634
_cell_length_b 7.2634
_cell_length_c 3.2227
_cell_angle_alpha 90.00
_cell_angle_beta 90.00
_cell_angle_gamma 90.00
_symmetry_space_group_name_H-M 'P 4/m b m'
_symmetry_Int_Tables_number 127
_symmetry_space_group_name_Hall '-P 4 2ab'
loop_
_atom_site_label
_atom_site_type_symbol
_atom_site_fract_x
_atom_site_fract_y
_atom_site_fract_z
Nb1 Nb 0.1424 0.3576 0.0000
Cd1 Cd 0.0000 0.0000 0.0000
P1 P 0.1439 0.6439 0.5000
# Energy of formation from the pure elements (kJ/mol of atoms): -39.9
# Crystal system: tetragonal
# Distance to the lowest polymorph of the same formula (meV/atom): 0

Entry 3:
# PBE-GGA Nb2CdP2, relaxed
data_Nb2CdP2
_chemical_formula_sum 'Nb4 Cd2 P4'
_cell_length_a 4.3746
_cell_length_b 4.3746
_cell_length_c 10.3287
_cell_angle_alpha 90.00
_cell_angle_beta 90.00
_cell_angle_gamma 90.00
_symmetry_space_group_name_H-M 'I 4/m m m'
_symmetry_Int_Tables_number 139
_symmetry_space_group_name_Hall '-I 4 2'
loop_
_atom_site_label
_atom_site_type_symbol
_atom_site_fract_x
_atom_site_fract_y
_atom_site_fract_z
Nb1 Nb 0.0000 0.0000 0.1300
Cd1 Cd 0.0000 0.0000 0.5000
P1 P 0.0000 0.5000 0.2500
# Energy of formation from the pure elements (kJ/mol of atoms): -1.2
# Crystal system: tetragonal
# Distance to the lowest polymorph of the same formula (meV/atom): 401

Entry 4:
# PBE-GGA NbCdP2, relaxed
data_NbCdP2
_chemical_formula_sum 'Nb4 Cd4 P8'
_cell_length_a 5.9175
_cell_length_b 5.9175
_cell_length_c 11.1891
_cell_angle_alpha 90.00
_cell_angle_beta 90.00
_cell_angle_gamma 90.00
_symmetry_space_group_name_H-M 'I -4 2 d'
_symmetry_Int_Tables_number 122
_symmetry_space_group_name_Hall 'I -4 2bw'
loop_
_atom_site_label
_atom_site_type_symbol
_atom_site_fract_x
_atom_site_fract_y
_atom_site_fract_z
Nb1 Nb 0.0000 0.0000 0.0000
Cd1 Cd 0.0000 0.0000 0.5000
P1 P 0.2216 0.2500 0.1250
# Energy of formation from the pure elements (kJ/mol of atoms): -3.5
# Crystal system: tetragonal

Entry 5:
# PBE-GGA NbCd2P, relaxed
data_NbCd2P
_chemical_formula_sum 'Nb4 Cd8 P4'
_cell_length_a 7.9639
_cell_length_b 7.9639
_cell_length_c 5.1027
_cell_angle_alpha 90.00
_cell_angle_beta 90.00
_cell_angle_gamma 90.00
_symmetry_space_group_name_H-M 'I -4 2 d'
_symmetry_Int_Tables_number 122
_symmetry_space_group_name_Hall 'I -4 2bw'
loop_
_atom_site_label
_atom_site_type_symbol
_atom_site_fract_x
_atom_site_fract_y
_atom_site_fract_z
Nb1 Nb 0.0000 0.0000 0.0000
Cd1 Cd 0.2040 0.2500 0.6250
P1 P 0.0000 0.0000 0.5000
# Energy of formation from the pure elements (kJ/mol of atoms): 28.5
# Crystal system: tetragonal

Entry 6:
# PBE-GGA NbCd3P, relaxed
data_NbCd3P
_chemical_formula_sum 'Nb1 Cd3 P1'
_cell_length_a 5.3730
_cell_length_b 5.3730
_cell_length_c 5.3730
_cell_angle_alpha 90.00
_cell_angle_beta 90.00
_cell_angle_gamma 90.00
_symmetry_space_group_name_H-M 'P m -3 m'
_symmetry_Int_Tables_number 221
_symmetry_space_group_name_Hall '-P 4 2 3'
loop_
_atom_site_label
_atom_site_type_symbol
_atom_site_fract_x
_atom_site_fract_y
_atom_site_fract_z
Nb1 Nb 0.0000 0.0000 0.0000
Cd1 Cd 0.0000 0.0000 0.5000
P1 P 0.5000 0.5000 0.5000
# Energy of formation from the pure elements (kJ/mol of atoms): 138.8
# Crystal system: cubic
# Distance to the lowest polymorph of the same formula (meV/atom): 451

Entry 7:
# PBE-GGA NbCdP2S, relaxed
data_NbCdP2S
_chemical_formula_sum 'Nb1 Cd1 P2 S1'
_cell_length_a 4.9139
_cell_length_b 4.9139
_cell_length_c 4.7268
_cell_angle_alpha 90.00
_cell_angle_beta 90.00
_cell_angle_gamma 90.00
_symmetry_space_group_name_H-M 'P 4/m m m'
_symmetry_Int_Tables_number 123
_symmetry_space_group_name_Hall '-P 4 2'
loop_
_atom_site_label
_atom_site_type_symbol
_atom_site_fract_x
_atom_site_fract_y
_atom_site_fract_z
Nb1 Nb 0.0000 0.0000 0.0000
Cd1 Cd 0.5000 0.5000 0.5000
P1 P 0.0000 0.5000 0.0000
S1 S 0.0000 0.0000 0.5000
# Raw formation energy (kJ per mole of atoms): 15.5
# Crystal system: tetragonal
# Distance to the lowest polymorph of the same formula (meV/atom): 0

Entry 8:
# PBE-GGA NbCdP2S, relaxed
data_NbCdP2S
_chemical_formula_sum 'Nb1 Cd1 P2 S1'
_cell_length_a 4.8208
_cell_length_b 4.8208
_cell_length_c 4.8845
_cell_angle_alpha 90.00
_cell_angle_beta 90.00
_cell_angle_gamma 90.00
_symmetry_space_group_name_H-M 'P 4/m m m'
_symmetry_Int_Tables_number 123
_symmetry_space_group_name_Hall '-P 4 2'
loop_
_atom_site_label
_atom_site_type_symbol
_atom_site_fract_x
_atom_site_fract_y
_atom_site_fract_z
Nb1 Nb 0.0000 0.0000 0.0000
Cd1 Cd 0.5000 0.5000 0.5000
P1 P 0.0000 0.5000 0.5000
S1 S 0.5000 0.5000 0.0000
# Raw formation energy (kJ per mole of atoms): 126.6
# Crystal system: tetragonal
# Distance to the lowest polymorph of the same formula (meV/atom): 1152

Entry 9:
# PBE-GGA NbCd2SbP, relaxed
data_NbCd2SbP
_chemical_formula_sum 'Nb1 Cd2 Sb1 P1'
_cell_length_a 5.5401
_cell_length_b 5.5401
_cell_length_c 5.2510
_cell_angle_alpha 90.00
_cell_angle_beta 90.00
_cell_angle_gamma 90.00
_symmetry_space_group_name_H-M 'P 4/m m m'
_symmetry_Int_Tables_number 123
_symmetry_space_group_name_Hall '-P 4 2'
loop_
_atom_site_label
_atom_site_type_symbol
_atom_site_fract_x
_atom_site_fract_y
_atom_site_fract_z
Nb1 Nb 0.0000 0.0000 0.0000
Cd1 Cd 0.0000 0.5000 0.0000
Sb1 Sb 0.0000 0.0000 0.5000
P1 P 0.5000 0.5000 0.5000
# Raw formation energy (kJ per mole of atoms): 107.7
# Crystal system: tetragonal

Entry 10:
# PBE-GGA ScNbCdP2, relaxed
data_ScNbCdP2
_chemical_formula_sum 'Sc1 Nb1 Cd1 P2'
_cell_length_a 4.8501
_cell_length_b 4.8501
_cell_length_c 5.1646
_cell_angle_alpha 90.00
_cell_angle_beta 90.00
_cell_angle_gamma 90.00
_symmetry_space_group_name_H-M 'P 4/m m m'
_symmetry_Int_Tables_number 123
_symmetry_space_group_name_Hall '-P 4 2'
loop_
_atom_site_label
_atom_site_type_symbol
_atom_site_fract_x
_atom_site_fract_y
_atom_site_fract_z
Sc1 Sc 0.0000 0.0000 0.0000
Nb1 Nb 0.5000 0.5000 0.0000
Cd1 Cd 0.5000 0.5000 0.5000
P1 P 0.0000 0.5000 0.5000
# Energy of formation from the pure elements (kJ/mol of atoms): 120.5
# Crystal system: tetragonal

Entry 11:
# PBE-GGA NbCdPW2, relaxed
data_NbCdPW2
_chemical_formula_sum 'Nb1 Cd1 P1 W2'
_cell_length_a 4.9967
_cell_length_b 4.9967
_cell_length_c 4.3775
_cell_angle_alpha 90.00
_cell_angle_beta 90.00
_cell_angle_gamma 90.00
_symmetry_space_group_name_H-M 'P 4/m m m'
_symmetry_Int_Tables_number 123
_symmetry_space_group_name_Hall '-P 4 2'
loop_
_atom_site_label
_atom_site_type_symbol
_atom_site_fract_x
_atom_site_fract_y
_atom_site_fract_z
Nb1 Nb 0.0000 0.0000 0.0000
Cd1 Cd 0.5000 0.5000 0.5000
P1 P 0.5000 0.5000 0.0000
W1 W 0.0000 0.5000 0.5000
# Energy of formation from the pure elements (kJ/mol of atoms): 249.4
# Crystal system: tetragonal

Entry 12:
# PBE-GGA NbZnCd2P, relaxed
data_NbZnCd2P
_chemical_formula_sum 'Nb1 Zn1 Cd2 P1'
_cell_length_a 5.0022
_cell_length_b 5.0022
_cell_length_c 4.4649
_cell_angle_alpha 90.00
_cell_angle_beta 90.00
_cell_angle_gamma 90.00
_symmetry_space_group_name_H-M 'P 4/m m m'
_symmetry_Int_Tables_number 123
_symmetry_space_group_name_Hall '-P 4 2'
loop_
_atom_site_label
_atom_site_type_symbol
_atom_site_fract_x
_atom_site_fract_y
_atom_site_fract_z
Nb1 Nb 0.0000 0.0000 0.0000
Zn1 Zn 0.5000 0.5000 0.5000
Cd1 Cd 0.0000 0.5000 0.5000
P1 P 0.5000 0.5000 0.0000
# Energy of formation from the pure elements (kJ/mol of atoms): 90.1
# Crystal system: tetragonal

Entry 13:
# PBE-GGA PaNbCd, relaxed
data_PaNbCd
_chemical_formula_sum 'Pa2 Nb2 Cd2'
_cell_length_a 2.9841
_cell_length_b 2.9841
_cell_length_c 14.6494
_cell_angle_alpha 90.00
_cell_angle_beta 90.00
_cell_angle_gamma 90.00
_symmetry_space_group_name_H-M 'I 4 m m'
_symmetry_Int_Tables_number 107
_symmetry_space_group_name_Hall 'I 4 -2'
loop_
_atom_site_label
_atom_site_type_symbol
_atom_site_fract_x
_atom_site_fract_y
_atom_site_fract_z
Pa1 Pa 0.0000 0.0000 0.0000
Nb1 Nb 0.0000 0.0000 0.6646
Cd1 Cd 0.0000 0.0000 0.3189
# Energy of formation from the pure elements (kJ/mol of atoms): 14.6
# Crystal system: tetragonal
# Distance to the lowest polymorph of the same formula (meV/atom): 0

Entry 14:
# PBE-GGA PaNbCd, relaxed
data_PaNbCd
_chemical_formula_sum 'Pa2 Nb2 Cd2'
_cell_length_a 4.5669
_cell_length_b 4.5669
_cell_length_c 7.1624
_cell_angle_alpha 90.00
_cell_angle_beta 90.00
_cell_angle_gamma 90.00
_symmetry_space_group_name_H-M 'P 4/n m m'
_symmetry_Int_Tables_number 129
loop_
_symmetry_equiv_pos_as_xyz
'x,y,z'
'-x,-y,-z'
'-y+1/2,x,z'
'y+1/2,-x,-z'
'-x+1/2,-y+1/2,z'
'x+1/2,y+1/2,-z'
'y,-x+1/2,z'
'-y,x+1/2,-z'
'x+1/2,-y,-z'
'-x+1/2,y,z'
'-y,-x,-z'
'y,x,z'
'-x,y+1/2,-z'
'x,-y+1/2,z'
'y+1/2,x+1/2,-z'
'-y+1/2,-x+1/2,z'
loop_
_atom_site_label
_atom_site_type_symbol
_atom_site_fract_x
_atom_site_fract_y
_atom_site_fract_z
Pa1 Pa 0.2500 0.7500 0.0000
Nb1 Nb 0.2500 0.2500 0.2275
Cd1 Cd 0.2500 0.2500 0.6444
# Energy of formation from the pure elements (kJ/mol of atoms): 57.2
# Crystal system: tetragonal
# Distance to the lowest polymorph of the same formula (meV/atom): 441

Entry 15:
# PBE-GGA PaNb2Cd2S6, relaxed
data_PaNb2Cd2S6
_chemical_formula_sum 'Pa2 Nb4 Cd4 S12'
_cell_length_a 5.9430
_cell_length_b 10.8115
_cell_length_c 7.6212
_cell_angle_alpha 90.00
_cell_angle_beta 107.23
_cell_angle_gamma 90.00
_symmetry_space_group_name_H-M 'C 1 2/m 1'
_symmetry_Int_Tables_number 12
loop_
_symmetry_equiv_pos_as_xyz
'x,y,z'
'-x,-y,-z'
'-x,y,-z'
'x,-y,z'
'x+1/2,y+1/2,z'
'-x+1/2,-y+1/2,-z'
'-x+1/2,y+1/2,-z'
'x+1/2,-y+1/2,z'
loop_
_atom_site_label
_atom_site_type_symbol
_atom_site_fract_x
_atom_site_fract_y
_atom_site_fract_z
Pa1 Pa 0.0000 0.0000 0.0000
Nb1 Nb 0.0000 0.3165 0.0000
Cd1 Cd 0.0000 0.1599 0.5000
S1 S 0.2270 0.5000 0.2170
S2 S 0.2430 0.3237 0.7737
# Raw formation energy (kJ per mole of atoms): -88.8
# Crystal system: monoclinic

Entry 16:
# PBE-GGA NbCdPb2, relaxed
data_NbCdPb2
_chemical_formula_sum 'Nb4 Cd4 Pb8'
_cell_length_a 8.2126
_cell_length_b 8.2126
_cell_length_c 6.2365
_cell_angle_alpha 90.00
_cell_angle_beta 90.00
_cell_angle_gamma 90.00
_symmetry_space_group_name_H-M 'I -4 2 d'
_symmetry_Int_Tables_number 122
_symmetry_space_group_name_Hall 'I -4 2bw'
loop_
_atom_site_label
_atom_site_type_symbol
_atom_site_fract_x
_atom_site_fract_y
_atom_site_fract_z
Nb1 Nb 0.0000 0.0000 0.0000
Cd1 Cd 0.0000 0.0000 0.5000
Pb1 Pb 0.2354 0.2500 0.1250
# Energy of formation from the pure elements (kJ/mol of atoms): 64.9
# Crystal system: tetragonal

Entry 17:
# PBE-GGA NbCdPb2, relaxed
data_NbCdPb2
_chemical_formula_sum 'Nb3 Cd3 Pb6'
_cell_length_a 3.1651
_cell_length_b 3.1651
_cell_length_c 36.2417
_cell_angle_alpha 90.00
_cell_angle_beta 90.00
_cell_angle_gamma 120.00
_symmetry_space_group_name_H-M 'R -3 m'
_symmetry_Int_Tables_number 166
_symmetry_space_group_name_Hall '-R 3 2"'
loop_
_atom_site_label
_atom_site_type_symbol
_atom_site_fract_x
_atom_site_fract_y
_atom_site_fract_z
Nb1 Nb 0.0000 0.0000 0.0000
Cd1 Cd 0.0000 0.0000 0.5000
Pb1 Pb 0.0000 0.0000 0.0824
# Energy of formation from the pure elements (kJ/mol of atoms): 51.8
# Crystal system: trigonal

Entry 18:
# PBE-GGA Nb2CdPb, relaxed
data_Nb2CdPb
_chemical_formula_sum 'Nb8 Cd4 Pb4'
_cell_length_a 7.7603
_cell_length_b 7.7603
_cell_length_c 5.8698
_cell_angle_alpha 90.00
_cell_angle_beta 90.00
_cell_angle_gamma 90.00
_symmetry_space_group_name_H-M 'I -4 2 d'
_symmetry_Int_Tables_number 122
_symmetry_space_group_name_Hall 'I -4 2bw'
loop_
_atom_site_label
_atom_site_type_symbol
_atom_site_fract_x
_atom_site_fract_y
_atom_site_fract_z
Nb1 Nb 0.2500 0.2496 0.3750
Cd1 Cd 0.0000 0.0000 0.0000
Pb1 Pb 0.0000 0.0000 0.5000
# Energy of formation from the pure elements (kJ/mol of atoms): 65.3
# Crystal system: tetragonal

Entry 19:
# PBE-GGA NbCdPb2Se, relaxed
data_NbCdPb2Se
_chemical_formula_sum 'Nb1 Cd1 Pb2 Se1'
_cell_length_a 5.5398
_cell_length_b 5.5398
_cell_length_c 5.4649
_cell_angle_alpha 90.00
_cell_angle_beta 90.00
_cell_angle_gamma 90.00
_symmetry_space_group_name_H-M 'P 4/m m m'
_symmetry_Int_Tables_number 123
_symmetry_space_group_name_Hall '-P 4 2'
loop_
_atom_site_label
_atom_site_type_symbol
_atom_site_fract_x
_atom_site_fract_y
_atom_site_fract_z
Nb1 Nb 0.0000 0.0000 0.0000
Cd1 Cd 0.0000 0.0000 0.5000
Pb1 Pb 0.0000 0.5000 0.0000
Se1 Se 0.5000 0.5000 0.5000
# Raw formation energy (kJ per mole of atoms): 70.6
# Crystal system: tetragonal

Entry 20:
# PBE-GGA TaNbCdPb2, relaxed
data_TaNbCdPb2
_chemical_formula_sum 'Ta1 Nb1 Cd1 Pb2'
_cell_length_a 5.3578
_cell_length_b 5.3578
_cell_length_c 5.3122
_cell_angle_alpha 90.00
_cell_angle_beta 90.00
_cell_angle_gamma 90.00
_symmetry_space_group_name_H-M 'P 4/m m m'
_symmetry_Int_Tables_number 123
_symmetry_space_group_name_Hall '-P 4 2'
loop_
_atom_site_label
_atom_site_type_symbol
_atom_site_fract_x
_atom_site_fract_y
_atom_site_fract_z
Ta1 Ta 0.0000 0.0000 0.0000
Nb1 Nb 0.5000 0.5000 0.5000
Cd1 Cd 0.5000 0.5000 0.0000
Pb1 Pb 0.0000 0.5000 0.5000
# Energy of formation from the pure elements (kJ/mol of atoms): 155.1
# Crystal system: tetragonal

no.,N(E_F) (states/eV/f.u.)
1,0.63
2,0.58
3,3.53
4,3.36
5,3.26
6,3.40
7,3.62
8,6.04
9,3.46
10,6.94
11,4.28
12,3.08
13,3.31
14,4.25
15,4.91
16,3.01
17,3.88
18,0.85
19,6.77
20,8.13